DFT (GGA-PBE) results for a geometry-optimized Cu2BiO4 structure.

energy = -4.9750 eV per atom
total moment = 3.006 μB per formula unit
space group = I422 (97)
polymorph energy (0 for the lowest one) = 210 kJ/mol of formula units

Cell and atoms, written as extended XYZ:
```
7
Lattice="5.215 0.000 0.000 2.608 4.190 0.000 2.608 0.000 4.190" Properties=species:S:1:pos:R:3 pbc="T T T"
Cu 2.608 2.095 2.095
Cu 5.215 2.095 2.095
Bi 0.000 0.000 0.000
O 3.912 2.095 0.660
O 6.519 0.660 2.095
O 6.519 3.530 2.095
O 3.912 2.095 3.530
```


DFT (GGA-PBE) results for a geometry-optimized Cu6BiO8 structure.

energy = -5.1245 eV per atom
total moment = 0.000 μB per formula unit
space group = Pm-3 (200)
polymorph energy (0 for the lowest one) = 140 kJ/mol of formula units

Cell and atoms, written as extended XYZ:
```
15
Lattice="-0.261 -5.291 1.735 5.328 0.269 1.617 -1.620 1.735 5.044" Properties=species:S:1:pos:R:3 pbc="T T T"
Cu 2.473 -3.746 2.082
Cu -1.318 -1.373 4.567
Cu 3.097 1.065 3.708
Cu 0.974 0.459 6.315
Cu 4.765 -1.914 3.830
Cu 0.350 -4.352 4.688
Bi 0.000 0.000 0.000
O 2.602 -2.481 6.337
O 0.846 -0.806 2.060
O 3.427 -3.365 3.768
O -0.113 -2.618 5.513
O 2.734 0.215 5.453
O 0.020 0.078 4.629
O 3.560 -0.669 2.883
O 0.713 -3.502 2.943
```


DFT (GGA-PBE) results for a geometry-optimized CuBi3O6 structure.

energy = -5.5156 eV per atom
total moment = 0.000 μB per formula unit
space group = Cmc2_1 (36)

Cell and atoms, written as extended XYZ:
```
20
Lattice="5.484 0.000 0.000 0.000 7.395 0.233 0.000 -1.423 7.260" Properties=species:S:1:pos:R:3 pbc="T T T"
Cu 5.308 -0.303 6.368
Cu 2.566 6.275 1.126
Bi 2.557 5.878 5.099
Bi 5.299 3.658 6.868
Bi 2.453 2.073 4.474
Bi 5.195 3.899 3.019
Bi 5.299 0.094 2.395
Bi 2.557 2.313 0.626
O 1.195 4.062 4.680
O 3.937 3.656 5.004
O 0.742 1.578 6.794
O 3.484 6.271 3.055
O 1.423 -1.184 7.070
O 3.685 0.489 5.737
O 0.943 5.483 1.757
O 4.165 7.156 0.423
O 0.742 -0.299 4.439
O 3.484 4.393 0.699
O 1.195 2.316 2.490
O 3.937 1.910 2.813
```


DFT (GGA-PBE) results for a geometry-optimized CuBiO3 structure.

energy = -5.3992 eV per atom
total moment = 0.000 μB per formula unit
space group = P2_1/c (14)

Cell and atoms, written as extended XYZ:
```
20
Lattice="-0.051 -4.743 -2.279 2.562 -2.562 5.274 -8.650 -0.555 1.350" Properties=species:S:1:pos:R:3 pbc="T T T"
Cu -3.653 -1.848 0.461
Cu -2.487 -6.013 3.884
Cu 1.835 -6.070 3.048
Cu -7.974 -1.791 1.297
Bi -6.603 -4.588 1.132
Bi 0.463 -3.273 3.213
Bi -3.857 -3.121 4.094
Bi -2.282 -4.740 0.251
O -5.847 -5.108 -1.327
O -0.292 -2.753 5.672
O -4.643 -5.353 5.231
O -1.497 -2.508 -0.886
O -4.299 -3.630 0.349
O -1.841 -4.231 3.996
O -6.150 -3.094 5.351
O 0.011 -4.767 -1.006
O -2.886 -2.080 2.106
O -3.253 -5.781 2.239
O 1.078 -4.917 1.846
O -7.218 -2.944 2.499
```


DFT (GGA-PBE) results for a geometry-optimized CuBiO2 structure.

energy = -5.1309 eV per atom
total moment = 0.000 μB per formula unit
space group = I-42d (122)

Cell and atoms, written as extended XYZ:
```
8
Lattice="4.720 0.000 0.000 0.000 4.720 0.000 2.360 2.360 5.652" Properties=species:S:1:pos:R:3 pbc="T T T"
O 3.358 1.180 1.413
O 1.362 3.540 1.413
O 3.540 3.722 4.239
O 5.900 5.718 4.239
Bi 0.000 0.000 0.000
Bi 4.720 2.360 2.826
Cu 2.360 2.360 0.000
Cu 2.360 4.720 2.826
```


DFT (GGA-PBE) results for a geometry-optimized Cu2Bi2O7 structure.

energy = -5.2103 eV per atom
total moment = 0.018 μB per formula unit
space group = Fd-3m (227)

Cell and atoms, written as extended XYZ:
```
22
Lattice="6.282 0.000 3.627 2.094 5.923 3.627 0.000 0.000 7.254" Properties=species:S:1:pos:R:3 pbc="T T T"
Cu 4.188 0.740 3.627
Cu 2.094 3.702 3.627
Cu 1.047 0.740 5.440
Cu 1.047 0.740 1.813
Bi 5.235 3.702 9.067
Bi 5.235 3.702 5.440
Bi 4.188 0.740 7.254
Bi 2.094 3.702 7.254
O 1.741 1.231 7.254
O 2.965 4.692 5.135
O 2.965 0.250 5.135
O 3.835 2.712 3.627
O 6.282 4.442 10.881
O 5.411 1.231 5.135
O 2.965 0.250 2.119
O 1.223 2.712 5.135
O 0.353 0.250 3.627
O 1.223 2.712 2.119
O 2.965 4.692 9.373
O 4.188 2.961 7.254
O 5.411 1.231 9.373
O 6.635 4.692 7.254
```


DFT (GGA-PBE) results for a geometry-optimized Cu6Bi4O19 structure.

energy = -5.0903 eV per atom
total moment = 0.002 μB per formula unit
space group = I23 (197)

Cell and atoms, written as extended XYZ:
```
29
Lattice="-6.728 -3.285 0.982 1.179 1.169 -7.367 5.418 -4.494 2.734" Properties=species:S:1:pos:R:3 pbc="T T T"
Cu 2.849 -4.331 -1.041
Cu -2.980 -2.278 -2.609
Cu 2.428 -1.994 -3.318
Cu -2.559 -4.615 -0.332
Cu -0.511 -2.198 -4.782
Cu 0.380 -4.411 1.131
Bi 3.656 -3.033 1.845
Bi 0.796 0.789 -4.971
Bi -0.043 -2.149 -1.187
Bi -4.541 -2.217 0.663
O -0.865 -5.134 2.453
O -0.446 -2.645 1.264
O -1.887 -0.719 -2.171
O -3.662 -1.396 -4.214
O 4.354 -2.194 -3.057
O 2.243 -1.130 -1.575
O 0.000 0.000 0.000
O 1.641 -3.428 0.107
O 0.819 -6.251 0.962
O -1.402 -3.040 -3.331
O -3.886 -3.756 -3.385
O -1.321 -0.500 -5.038
O -2.412 -2.805 -0.875
O 4.195 -3.075 -0.574
O 1.841 -3.582 -2.466
O -3.025 -4.029 1.413
O 2.806 -3.099 -4.816
O 0.619 -1.434 -3.466
O -0.663 -4.656 -0.432
```


DFT (GGA-PBE) results for a geometry-optimized CuBiO3 structure.

energy = -4.6959 eV per atom
total moment = 0.171 μB per formula unit
space group = Pm-3m (221)

Cell and atoms, written as extended XYZ:
```
5
Lattice="-2.531 2.790 -1.729 -2.816 -2.967 -0.666 -1.686 0.768 3.708" Properties=species:S:1:pos:R:3 pbc="T T T"
O -1.408 -1.484 -0.333
O -0.843 0.384 1.854
O -1.266 1.395 -0.864
Bi 0.000 0.000 0.000
Cu -3.516 0.295 0.657
```


DFT (GGA-PBE) results for a geometry-optimized Cu6BiO12 structure.

energy = -4.5881 eV per atom
total moment = 7.758 μB per formula unit
space group = Im-3 (204)

Cell and atoms, written as extended XYZ:
```
19
Lattice="-6.259 1.461 1.256 0.681 -6.499 -0.423 3.787 2.282 4.831" Properties=species:S:1:pos:R:3 pbc="T T T"
Cu 1.400 -0.846 4.257
Cu -3.191 -1.910 1.407
Cu -1.282 -3.941 1.903
Cu -0.509 1.185 3.761
Cu -3.117 0.173 3.325
Cu 1.326 -2.929 2.340
Bi 0.000 0.000 0.000
O 1.237 1.231 4.442
O -1.194 -2.331 0.949
O -0.597 -0.425 4.716
O -3.028 -3.987 1.223
O 0.698 -4.479 1.493
O -1.676 0.492 2.169
O -0.115 -3.248 3.495
O -2.489 1.722 4.171
O -4.384 -0.522 1.812
O 1.124 -0.847 2.403
O -2.915 -1.909 3.261
O 2.593 -2.234 3.853
```


DFT (GGA-PBE) results for a geometry-optimized Cu3BiO4 structure.

energy = -4.3936 eV per atom
total moment = 1.652 μB per formula unit
space group = P-43m (215)
polymorph energy (0 for the lowest one) = 607 kJ/mol of formula units

Cell and atoms, written as extended XYZ:
```
8
Lattice="-4.161 2.828 1.872 -3.301 -4.056 -1.210 0.777 -2.089 4.883" Properties=species:S:1:pos:R:3 pbc="T T T"
Cu -1.650 -2.028 -0.605
Cu 0.389 -1.044 2.442
Cu -2.081 1.414 0.936
Bi 0.000 0.000 0.000
O -1.522 -0.755 1.262
O -5.587 -1.424 1.623
O -2.897 -4.103 3.263
O -3.365 -0.353 4.942
```


DFT (GGA-PBE) results for a geometry-optimized CuBi2O6 structure.

energy = -5.3367 eV per atom
total moment = 0.000 μB per formula unit
space group = P2_1/c (14)

Cell and atoms, written as extended XYZ:
```
18
Lattice="-4.680 -1.491 2.279 2.673 -3.191 3.400 1.329 7.037 5.559" Properties=species:S:1:pos:R:3 pbc="T T T"
Cu -1.003 -2.341 2.840
Cu 0.664 3.519 2.780
Bi -2.364 2.787 8.222
Bi 1.032 1.120 8.236
Bi -1.710 1.234 3.003
Bi 1.686 -0.433 3.017
O -1.247 -1.627 6.609
O -1.105 1.096 7.928
O -0.670 3.588 9.540
O -2.140 2.085 5.037
O -1.463 4.288 6.957
O -1.942 -0.871 3.617
O 0.569 3.981 4.630
O 0.427 1.259 3.311
O -0.008 -1.233 1.699
O 1.462 0.270 6.202
O 0.785 -1.933 4.282
O 1.264 3.226 7.622
```


DFT (GGA-PBE) results for a geometry-optimized CuBiO2 structure.

energy = -5.3849 eV per atom
total moment = 0.000 μB per formula unit
space group = P2_1/m (11)

Cell and atoms, written as extended XYZ:
```
8
Lattice="3.632 0.000 0.000 0.000 6.152 -0.001 0.000 2.939 6.008" Properties=species:S:1:pos:R:3 pbc="T T T"
Cu 2.724 7.948 4.015
Cu 0.908 1.144 1.992
Bi 2.724 4.185 1.414
Bi 0.908 4.907 4.593
O 2.724 6.298 4.831
O 0.908 5.521 2.470
O 2.724 3.571 3.538
O 0.908 2.793 1.177
```


no.,volume (Å³/atom)
1,13.08
2,11.55
3,14.81
4,14.33
5,15.74
6,12.27
7,11.43
8,14.24
9,11.38
10,19.34
11,14.61
12,16.78